Record 1
This record from Alexandria describes a relaxed Dy2ZnOs2 crystal. The functional is PBE-GGA. Values from VASP.

Values from the calculation:
D(E_F) = 5.86 states/eV per cell
calculated volume = 20.430 A^3/atom
electronic total energy = -6.82 eV per atom
formation energy = -232 meV per atom

Quantum ESPRESSO input file:
```
&SYSTEM
  ibrav = 0, nat = 10, ntyp = 3
/
ATOMIC_SPECIES
Dy 162.50 Dy.upf
Zn 65.41 Zn.upf
Os 190.23 Os.upf
CELL_PARAMETERS angstrom
5.4994 0.0000 0.0000
-2.7497 4.5857 0.0293
0.0000 -2.0716 8.0881
ATOMIC_POSITIONS crystal
Dy 0.4866 0.6961 0.8462
Zn 0.1292 0.0000 0.7500
Os 0.7269 0.7301 0.4925
Zn 0.8708 0.0000 0.2500
Dy 0.7904 0.3039 0.6538
Dy 0.5134 0.3039 0.1538
Os 0.2731 0.2699 0.5075
Os 0.0032 0.7301 0.9925
Dy 0.2096 0.6961 0.3462
Os 0.9968 0.2699 0.0075
```


Record 2
This record from Alexandria describes a relaxed TlSnBi crystal. The functional is PBE-GGA. Values from VASP.

Values from the calculation:
D(E_F) = 2.58 states/eV per cell
calculated volume = 30.640 A^3/atom
excess energy over the best structure of this formula in the dataset = 46 meV/atom
electronic total energy = -3.38 eV per atom
formation energy = 36 meV per atom

Quantum ESPRESSO input file:
```
&SYSTEM
  ibrav = 0, nat = 6, ntyp = 3
/
ATOMIC_SPECIES
Tl 204.38 Tl.upf
Sn 118.71 Sn.upf
Bi 208.98 Bi.upf
CELL_PARAMETERS angstrom
-2.8455 0.0037 -1.9190
-1.8763 -4.7922 2.7729
-2.7724 5.2459 7.1902
ATOMIC_POSITIONS crystal
Tl 0.2184 0.7500 0.4369
Sn 0.4482 0.2500 0.8963
Sn 0.5518 0.7500 0.1037
Bi 0.1028 0.2500 0.2055
Bi 0.8972 0.7500 0.7945
Tl 0.7816 0.2500 0.5631
```


Record 3
This record from Alexandria describes a relaxed LaP5 crystal. The functional is PBE-GGA. Values from VASP.

Values from the calculation:
D(E_F) = 0.19 states/eV per cell
calculated volume = 20.967 A^3/atom
electronic total energy = -5.90 eV per atom
formation energy = -567 meV per atom

Quantum ESPRESSO input file:
```
&SYSTEM
  ibrav = 0, nat = 12, ntyp = 2
/
ATOMIC_SPECIES
P 30.97 P.upf
La 138.91 La.upf
CELL_PARAMETERS angstrom
-4.1409 2.0037 1.3493
-0.2742 -5.5118 1.2903
3.7553 1.8634 8.7579
ATOMIC_POSITIONS crystal
P 0.2960 0.3856 0.9492
P 0.6221 0.9690 0.4080
P 0.7040 0.6144 0.4492
P 0.7040 0.6144 0.0508
La 0.9163 0.6036 0.7500
P 0.6221 0.9690 0.0920
La 0.0837 0.3964 0.2500
P 0.3779 0.0310 0.5920
P 0.3779 0.0310 0.9080
P 0.2960 0.3856 0.5508
P 0.7214 0.0589 0.7500
P 0.2786 0.9411 0.2500
```


Record 4
This record from Alexandria describes a relaxed AcNd2Sm crystal. The functional is PBE-GGA. Values from VASP.

Values from the calculation:
D(E_F) = 7.32 states/eV per cell
calculated volume = 37.603 A^3/atom
excess energy over the best structure of this formula in the dataset = 182 meV/atom
electronic total energy = -4.38 eV per atom
formation energy = 208 meV per atom

Quantum ESPRESSO input file:
```
&SYSTEM
  ibrav = 0, nat = 4, ntyp = 3
/
ATOMIC_SPECIES
Sm 150.36 Sm.upf
Nd 144.24 Nd.upf
Ac 227.00 Ac.upf
CELL_PARAMETERS angstrom
-0.7624 3.3940 -1.1656
-1.8278 2.3196 2.1765
10.3086 6.1005 5.2473
ATOMIC_POSITIONS crystal
Sm 0.0000 0.0000 0.0000
Nd 0.0874 0.0874 0.7378
Ac 0.5000 0.5000 0.5000
Nd 0.9126 0.9126 0.2622
```


Record 5
This record from Alexandria describes a relaxed Tm2US crystal. The functional is PBE-GGA. Values from VASP.

Values from the calculation:
D(E_F) = 8.17 states/eV per cell
calculated volume = 25.649 A^3/atom
electronic total energy = -6.45 eV per atom

Quantum ESPRESSO input file:
```
&SYSTEM
  ibrav = 0, nat = 4, ntyp = 3
/
ATOMIC_SPECIES
Tm 168.93 Tm.upf
S 32.06 S.upf
U 238.03 U.upf
CELL_PARAMETERS angstrom
-3.3817 -0.5819 0.1202
-1.1831 -3.0226 1.1193
-1.8050 2.3843 9.7966
ATOMIC_POSITIONS crystal
Tm 0.8910 0.8910 0.3269
Tm 0.1090 0.1090 0.6731
S 0.5000 0.5000 0.5000
U 0.0000 0.0000 0.0000
```


Record 6
This record from Alexandria describes a relaxed NaCe3Pu2Se6 crystal. The functional is PBE-GGA. Values from VASP.

Values from the calculation:
D(E_F) = 33.93 states/eV per cell
calculated volume = 26.171 A^3/atom
electronic total energy = -7.37 eV per atom

Quantum ESPRESSO input file:
```
&SYSTEM
  ibrav = 0, nat = 12, ntyp = 4
/
ATOMIC_SPECIES
Se 78.96 Se.upf
Ce 140.12 Ce.upf
Pu 244.00 Pu.upf
Na 22.99 Na.upf
CELL_PARAMETERS angstrom
-0.6950 4.1256 0.3381
-4.0327 -1.2734 7.2473
9.0113 -0.8217 2.4975
ATOMIC_POSITIONS crystal
Se 0.6663 0.0880 0.3326
Ce 0.8341 0.1655 0.6682
Se 0.9988 0.7491 0.9976
Ce 0.1659 0.8345 0.3318
Pu 0.8329 0.6646 0.6657
Na 0.5000 0.0000 0.0000
Se 0.0012 0.2509 0.0024
Ce 0.5000 0.5000 0.0000
Se 0.6679 0.5807 0.3358
Pu 0.1671 0.3354 0.3343
Se 0.3321 0.4193 0.6642
Se 0.3337 0.9120 0.6674
```